(1)
# PBE-GGA Ba2CaIr, optimized geometry
data_Ba2CaIr
_chemical_formula_sum 'Ba2 Ca1 Ir1'
_symmetry_space_group_name_H-M 'P 1'
_symmetry_Int_Tables_number 1
_cell_length_a 4.416
_cell_length_b 7.314
_cell_length_c 7.314
_cell_angle_alpha 50.99
_cell_angle_beta 90.00
_cell_angle_gamma 90.00
loop_
_symmetry_equiv_pos_as_xyz
'x,y,z'
loop_
_atom_site_label
_atom_site_type_symbol
_atom_site_fract_x
_atom_site_fract_y
_atom_site_fract_z
_atom_site_occupancy
Ir1 Ir 0.500 0.746 0.746 1
Ba1 Ba 0.500 0.238 0.239 1
Ba2 Ba 0.000 0.903 0.903 1
Ca1 Ca 0.000 0.613 0.613 1
# Fermi-level density of states = 1.7 states/eV/f.u.
# Offset from the most stable computed form = 0.075 eV per atom
# ΔH_f (0 K) = -111 meV/atom
# SG = No. 38

(2)
# PBE-GGA Np3U, optimized geometry
data_Np3U
_chemical_formula_sum 'Np3 U1'
_symmetry_space_group_name_H-M 'P 1'
_symmetry_Int_Tables_number 1
_cell_length_a 2.673
_cell_length_b 4.728
_cell_length_c 5.807
_cell_angle_alpha 90.00
_cell_angle_beta 90.00
_cell_angle_gamma 90.00
loop_
_symmetry_equiv_pos_as_xyz
'x,y,z'
loop_
_atom_site_label
_atom_site_type_symbol
_atom_site_fract_x
_atom_site_fract_y
_atom_site_fract_z
_atom_site_occupancy
Np1 Np 0.500 0.500 0.754 1
Np2 Np 0.000 0.500 0.260 1
Np3 Np 0.500 0.000 0.578 1
U1 U 0.000 0.000 0.074 1
# Offset from the most stable computed form = 0.000 eV per atom
# ΔH_f (0 K) = 148 meV/atom
# SG = No. 25

(3)
# PBE-GGA LaSi2, optimized geometry
data_LaSi2
_chemical_formula_sum 'La4 Si8'
_symmetry_space_group_name_H-M 'P 1'
_symmetry_Int_Tables_number 1
_cell_length_a 14.432
_cell_length_b 14.432
_cell_length_c 14.432
_cell_angle_alpha 162.80
_cell_angle_beta 162.80
_cell_angle_gamma 24.41
loop_
_symmetry_equiv_pos_as_xyz
'x,y,z'
loop_
_atom_site_label
_atom_site_type_symbol
_atom_site_fract_x
_atom_site_fract_y
_atom_site_fract_z
_atom_site_occupancy
Si1 Si 0.808 0.308 0.500 1
Si2 Si 0.000 0.500 0.500 1
La1 La 0.177 0.677 0.500 1
Si3 Si 0.442 0.442 0.000 1
La2 La 0.073 0.073 0.000 1
La3 La 0.323 0.823 0.500 1
Si4 Si 0.500 0.000 0.500 1
La4 La 0.927 0.927 0.000 1
Si5 Si 0.250 0.250 0.000 1
Si6 Si 0.750 0.750 0.000 1
Si7 Si 0.558 0.558 0.000 1
Si8 Si 0.692 0.192 0.500 1
# Fermi-level density of states = 1.8 states/eV/f.u.
# ΔE_f (raw) = -96 kJ/mol of formula units
# SG = No. 141

(4)
# PBE-GGA SrLa2Os, optimized geometry
data_SrLa2Os
_chemical_formula_sum 'Sr1 La2 Os1'
_symmetry_space_group_name_H-M 'P 1'
_symmetry_Int_Tables_number 1
_cell_length_a 6.203
_cell_length_b 6.203
_cell_length_c 6.203
_cell_angle_alpha 136.87
_cell_angle_beta 136.87
_cell_angle_gamma 62.64
loop_
_symmetry_equiv_pos_as_xyz
'x,y,z'
loop_
_atom_site_label
_atom_site_type_symbol
_atom_site_fract_x
_atom_site_fract_y
_atom_site_fract_z
_atom_site_occupancy
La1 La 0.250 0.750 0.500 1
Os1 Os 0.500 0.500 0.000 1
La2 La 0.000 0.000 0.000 1
Sr1 Sr 0.750 0.250 0.500 1
# Fermi-level density of states = 3.8 states/eV/f.u.
# Offset from the most stable computed form = 0.525 eV per atom
# ΔH_f (0 K) = 463 meV/atom
# SG = No. 119

The following magnetization values (in μB/f.u.) correspond, in order, to the records above: 0.0 0.0 0.0 0.0.
The following energy values (in eV per atom) correspond, in order, to the records above: -3.788 -12.380 -5.589 -5.228.